No. 1
Density functional theory data (PBE) for a relaxed Pm3Ga2Sn2 crystal.

Summary:
Symmetry: C2/m
Total magnetization (μB/cell): 0.00
Formation enthalpy at 0 K (eV per atom): -0.708

a b c (Å): 6.143 6.143 7.992
angles (deg): 111.60 111.60 42.15
Sites, in units of the cell vectors:
Pm: 0.000 0.000 0.000
Pm: 0.178 0.178 0.640
Pm: 0.822 0.822 0.360
Ga: 0.299 0.299 0.071
Ga: 0.701 0.701 0.929
Sn: 0.462 0.462 0.671
Sn: 0.538 0.538 0.329

=====

No. 2
Density functional theory data (PBE) for a relaxed PmGaSn2 crystal.

Summary:
Symmetry: P4/mmm
Total magnetization (μB/cell): 0.00
Excess energy over the best structure of this formula in the dataset (kJ per mole of atoms): 0.0
Formation enthalpy at 0 K (eV per atom): -0.513

a b c (Å): 4.568 4.568 4.787
angles (deg): 90.00 90.00 90.00
Sites, in units of the cell vectors:
Pm: 0.000 0.000 0.000
Ga: 0.500 0.500 0.000
Sn: 0.000 0.500 0.500
Sn: 0.500 0.000 0.500

=====

Question: What is the total magnetization in the first record?
Answer: 0.00 μB/cell